A geometry-optimized ZrAgMo2 structure. Source: Alexandria via LeMat-Bulk, functional PBE.

abc: 2.807 4.394 5.916
angles: 90.00 101.32 90.00
Fractional positions:
Zr 0.000 0.000 0.000
Ag 0.596 0.500 0.261
Mo 0.165 0.000 0.535
Mo 0.521 0.500 0.733

ΔE_f (kJ per mole of atoms): 20.0
Calculated volume (Å³/cell): 72
DFT total energy (eV/cell): -32.23
Distance to the lowest polymorph of the same formula (eV/atom): 0.077

A geometry-optimized ZrAg2Mo structure. Source: Alexandria via LeMat-Bulk, functional PBE.

abc: 2.843 2.843 9.036
angles: 90.00 90.00 90.00
Fractional positions:
Zr 0.000 0.000 0.000
Ag 0.000 0.000 0.508
Ag 0.500 0.500 0.263
Mo 0.500 0.500 0.747

ΔE_f (kJ per mole of atoms): 18.9
Calculated volume (Å³/cell): 73
DFT total energy (eV/cell): -24.30
Distance to the lowest polymorph of the same formula (eV/atom): 0.021

A geometry-optimized ZrAgMo2 structure. Source: Alexandria via LeMat-Bulk, functional PBE.

abc: 10.338 10.338 10.338
angles: 15.81 15.81 15.81
Fractional positions:
Zr 0.000 0.000 0.000
Ag 0.500 0.500 0.500
Mo 0.247 0.247 0.247
Mo 0.753 0.753 0.753

ΔE_f (kJ per mole of atoms): 49.1
Calculated volume (Å³/cell): 71
DFT total energy (eV/cell): -31.02
Distance to the lowest polymorph of the same formula (eV/atom): 0.379

A geometry-optimized Zr2AgMo2 structure. Source: Alexandria via LeMat-Bulk, functional PBE.

abc: 7.551 7.551 3.461
angles: 90.00 90.00 90.00
Fractional positions:
Zr 0.144 0.356 0.000
Zr 0.356 0.856 0.000
Zr 0.644 0.144 0.000
Zr 0.856 0.644 0.000
Ag 0.000 0.000 0.000
Ag 0.500 0.500 0.000
Mo 0.152 0.652 0.500
Mo 0.348 0.152 0.500
Mo 0.652 0.848 0.500
Mo 0.848 0.348 0.500

ΔE_f (kJ per mole of atoms): 50.7
Calculated volume (Å³/cell): 197
DFT total energy (eV/cell): -77.97
Distance to the lowest polymorph of the same formula (eV/atom): 0.286

A geometry-optimized ZrAgMo2 structure. Source: Alexandria via LeMat-Bulk, functional PBE.

abc: 3.437 3.437 5.992
angles: 90.00 90.00 90.00
Fractional positions:
Zr 0.000 0.000 0.000
Ag 0.000 0.000 0.500
Mo 0.500 0.500 0.250
Mo 0.500 0.500 0.750

ΔE_f (kJ per mole of atoms): 43.1
Calculated volume (Å³/cell): 71
DFT total energy (eV/cell): -31.28
Distance to the lowest polymorph of the same formula (eV/atom): 0.316

A geometry-optimized ZrAgMo2 structure. Source: Alexandria via LeMat-Bulk, functional PBE.

abc: 5.419 5.419 2.695
angles: 90.00 90.00 116.65
Fractional positions:
Zr 0.000 0.000 0.000
Ag 0.500 0.500 0.000
Mo 0.000 0.500 0.500
Mo 0.500 0.000 0.500

ΔE_f (kJ per mole of atoms): 36.6
Calculated volume (Å³/cell): 71
DFT total energy (eV/cell): -31.54
Distance to the lowest polymorph of the same formula (eV/atom): 0.250

A geometry-optimized ZrAg2Mo structure. Source: Alexandria via LeMat-Bulk, functional PBE.

abc: 2.774 4.980 5.393
angles: 90.00 102.28 90.00
Fractional positions:
Zr 0.000 0.000 0.000
Ag 0.282 0.500 0.741
Ag 0.718 0.500 0.259
Mo 0.500 0.000 0.500

ΔE_f (kJ per mole of atoms): 26.6
Calculated volume (Å³/cell): 73
DFT total energy (eV/cell): -23.98
Distance to the lowest polymorph of the same formula (eV/atom): 0.100

A geometry-optimized ZrAgMo2 structure. Source: Alexandria via LeMat-Bulk, functional PBE.

abc: 5.976 5.976 5.976
angles: 101.80 101.80 126.22
Fractional positions:
Zr 0.000 0.000 0.000
Zr 0.750 0.250 0.500
Ag 0.250 0.750 0.500
Ag 0.500 0.500 0.000
Mo 0.138 0.625 0.013
Mo 0.375 0.388 0.513
Mo 0.612 0.125 0.987
Mo 0.875 0.862 0.487

ΔE_f (kJ per mole of atoms): 85.9
Calculated volume (Å³/cell): 154
DFT total energy (eV/cell): -59.00
Distance to the lowest polymorph of the same formula (eV/atom): 0.760